A plane-wave DFT calculation with meta-GGA SCAN was carried out for SrCd at its PBEsol-relaxed geometry.

Lattice parameters (Å, degrees): 4.454 4.940 6.517 90.00 109.98 90.00
Element x y z (fractional)
1 Cd 0.932 0.750 0.865
2 Cd 0.068 0.250 0.135
3 Sr 0.646 0.750 0.291
4 Sr 0.354 0.250 0.709

Results
Its magnetic moment is 0.000 Bohr magnetons per cell. As for the calculated formation energy: -0.8 eV per formula unit. The crystal system is orthorhombic.

---

A plane-wave DFT calculation with meta-GGA SCAN was carried out for NaAlIr2 at its PBEsol-relaxed geometry.

Lattice parameters (Å, degrees): 4.445 4.445 9.234 103.93 103.93 90.00
Element x y z (fractional)
1 Ir 0.125 0.971 0.750
2 Ir 0.029 0.375 0.250
3 Ir 0.221 0.875 0.250
4 Ir 0.625 0.779 0.750
5 Al 0.000 0.000 0.000
6 Al 0.250 0.750 0.500
7 Na 0.500 0.500 0.000
8 Na 0.750 0.250 0.500

Results
Its magnetic moment is 0.002 Bohr magnetons per cell. As for the calculated formation energy: 1.2 eV per formula unit. The crystal system is tetragonal.

---

A plane-wave DFT calculation with meta-GGA SCAN was carried out for YAg2Rh at its PBEsol-relaxed geometry.

Lattice parameters (Å, degrees): 3.933 3.929 5.341 111.58 111.60 90.00
Element x y z (fractional)
1 Y 0.000 0.500 0.000
2 Rh 0.500 0.000 0.000
3 Ag 0.750 0.750 0.500
4 Ag 0.250 0.250 0.500

Results
Its magnetic moment is 0.000 Bohr magnetons per cell. As for the calculated formation energy: -1.8 eV per formula unit. The crystal system is tetragonal. The value obtained for the energy above the most stable polymorph in this dataset is 0 meV per atom.

---

A plane-wave DFT calculation with meta-GGA SCAN was carried out for La2Fe2Si2C at its PBEsol-relaxed geometry.

Lattice parameters (Å, degrees): 3.985 5.768 5.979 73.77 70.53 69.79
Element x y z (fractional)
1 C 0.000 0.000 0.000
2 Si 0.815 0.617 0.753
3 Si 0.185 0.383 0.247
4 La 0.558 0.186 0.697
5 La 0.442 0.814 0.303
6 Fe 0.192 0.698 0.919
7 Fe 0.808 0.302 0.081

Results
Its magnetic moment is 0.000 Bohr magnetons per cell. The crystal system is monoclinic. Its uncorrected formation energy is -534 meV per atom.

---

no.,electronic total energy (eV/atom)
1,-26.72
2,-38.25
3,-31.53
4,-22.33